(1)
A geometry-optimized NaSr3Pt structure. Source: Alexandria, functional PBE-GGA.

Structure (POSCAR):
```
NaSr3Pt
1.0
5.5081 0.0000 3.9628
-2.7540 4.7701 3.9628
-2.7540 -4.7701 3.9628
Pt Sr Na
1 3 1
Direct
0.8783 0.8783 0.8783
0.6284 0.6284 0.1128
0.6284 0.1128 0.6284
0.1128 0.6284 0.6284
0.6271 0.6271 0.6271
```

Results
As for the space group: R3m. As for the volume: 312.4 Å³/cell. The value obtained for the density of states at the Fermi level is 4.251 states/eV/cell. As for the formation energy: 220 meV per atom.

***

(2)
A geometry-optimized MnCu2W structure. Source: Alexandria, functional PBE-GGA.

Structure (POSCAR):
```
MnCu2W
1.0
-0.7232 3.1640 -2.6579
-2.5417 -0.4990 0.0976
-0.9219 2.9566 3.7704
Cu W Mn
2 1 1
Direct
0.0000 0.1207 0.9973
0.5000 0.1485 0.2567
0.5000 0.7157 0.7586
0.0000 0.5151 0.4874
```

Results
As for the space group: Pm. As for the volume: 52.8 Å³/cell. The value obtained for the density of states at the Fermi level is 3.101 states/eV/cell. As for the formation energy: 291 meV per atom.

***

Number 1: DFT total energy -2.26 eV/atom. Number 2: DFT total energy -7.29 eV/atom.